Entry from the Alexandria database: a relaxed structure of Nd5Dy2Ho12 (PBE-GGA).

## Properties
Total moment (Bohr magnetons per cell): 0.0
Symmetry: No. 12
DFT total energy (eV/atom): -4.452
Excess energy over the best structure of this formula in the dataset (meV per atom): 158
Volume (Å³ per atom): 32.907
Formation energy (meV per atom): 178.0

Unit cell a=9.812 b=9.812 c=10.405 alpha=109.66 beta=109.66 gamma=42.00
Fractional coordinates of all 19 atoms:
Nd  0.000  0.000  0.000
Nd  0.187  0.187  0.681
Nd  0.319  0.319  0.290
Nd  0.681  0.681  0.710
Nd  0.813  0.813  0.319
Dy  0.272  0.728  0.500
Dy  0.728  0.272  0.500
Ho  0.025  0.025  0.747
Ho  0.089  0.584  0.978
Ho  0.089  0.595  0.631
Ho  0.405  0.911  0.369
Ho  0.416  0.911  0.022
Ho  0.498  0.498  0.825
Ho  0.502  0.502  0.175
Ho  0.584  0.089  0.978
Ho  0.595  0.089  0.631
Ho  0.911  0.405  0.369
Ho  0.911  0.416  0.022
Ho  0.975  0.975  0.253

Entry from the Alexandria database: a relaxed structure of Nd3Dy8Ho2 (PBE-GGA).

## Properties
Total moment (Bohr magnetons per cell): 0.0
Symmetry: No. 12
DFT total energy (eV/atom): -4.550
Excess energy over the best structure of this formula in the dataset (meV per atom): 0
Volume (Å³ per atom): 32.475
Formation energy (meV per atom): 86.8

Unit cell a=11.747 b=11.747 c=6.789 alpha=101.70 beta=101.70 gamma=27.44
Fractional coordinates of all 13 atoms:
Nd  0.000  0.000  0.000
Nd  0.488  0.488  0.711
Nd  0.512  0.512  0.289
Dy  0.077  0.077  0.594
Dy  0.178  0.178  0.265
Dy  0.332  0.332  0.473
Dy  0.377  0.377  0.012
Dy  0.623  0.623  0.988
Dy  0.668  0.668  0.527
Dy  0.822  0.822  0.735
Dy  0.923  0.923  0.406
Ho  0.230  0.230  0.814
Ho  0.770  0.770  0.186

Entry from the Alexandria database: a relaxed structure of NdDy3Ho6 (PBE-GGA).

## Properties
Total moment (Bohr magnetons per cell): 0.0
Symmetry: No. 36
DFT total energy (eV/atom): -4.455
Excess energy over the best structure of this formula in the dataset (meV per atom): 0
Volume (Å³ per atom): 32.069
Formation energy (meV per atom): 149.3

Unit cell a=10.931 b=10.931 c=6.173 alpha=90.00 beta=90.00 gamma=119.59
Fractional coordinates of all 20 atoms:
Nd  0.207  0.793  0.500
Nd  0.793  0.207  0.000
Dy  0.064  0.282  0.305
Dy  0.282  0.064  0.805
Dy  0.391  0.609  0.418
Dy  0.609  0.391  0.918
Dy  0.718  0.936  0.305
Dy  0.936  0.718  0.805
Ho  0.038  0.459  0.712
Ho  0.047  0.953  0.262
Ho  0.285  0.715  0.987
Ho  0.288  0.382  0.878
Ho  0.382  0.288  0.378
Ho  0.459  0.038  0.212
Ho  0.541  0.962  0.712
Ho  0.618  0.712  0.878
Ho  0.712  0.618  0.378
Ho  0.715  0.285  0.487
Ho  0.953  0.047  0.762
Ho  0.962  0.541  0.212

Entry from the Alexandria database: a relaxed structure of Nd12DyHo7 (PBE-GGA).

## Properties
Total moment (Bohr magnetons per cell): 0.0
Symmetry: No. 148
DFT total energy (eV/atom): -4.470
Excess energy over the best structure of this formula in the dataset (meV per atom): 0
Volume (Å³ per atom): 34.513
Formation energy (meV per atom): 223.1

Unit cell a=8.852 b=8.852 c=8.852 alpha=86.72 beta=86.72 gamma=86.72
Fractional coordinates of all 20 atoms:
Nd  0.101  0.347  0.420
Nd  0.226  0.755  0.349
Nd  0.245  0.651  0.774
Nd  0.347  0.420  0.101
Nd  0.349  0.226  0.755
Nd  0.420  0.101  0.347
Nd  0.580  0.899  0.653
Nd  0.651  0.774  0.245
Nd  0.653  0.580  0.899
Nd  0.755  0.349  0.226
Nd  0.774  0.245  0.651
Nd  0.899  0.653  0.580
Dy  0.000  0.000  0.000
Ho  0.005  0.361  0.886
Ho  0.114  0.995  0.639
Ho  0.361  0.886  0.005
Ho  0.500  0.500  0.500
Ho  0.639  0.114  0.995
Ho  0.886  0.005  0.361
Ho  0.995  0.639  0.114